A plane-wave DFT calculation with PBE was carried out for Dy7Tl5Hg after structural relaxation.

Output
formation energy from the elements: -146 meV/atom
raw total energy: -3.56 eV per atom

```
data_Dy7Tl5Hg
_chemical_formula_sum 'Dy14 Tl10 Hg2'
_cell_length_a 6.6978
_cell_length_b 10.6613
_cell_length_c 10.6417
_cell_angle_alpha 90.00
_cell_angle_beta 90.00
_cell_angle_gamma 90.00
_space_group_name_H-M_alt 'I m m 2'
_space_group_IT_number 44
loop_
_space_group_symop_operation_xyz
'x,y,z'
'-x,-y,z'
'-x,y,z'
'x,-y,z'
'x+1/2,y+1/2,z+1/2'
'-x+1/2,-y+1/2,z+1/2'
'-x+1/2,y+1/2,z+1/2'
'x+1/2,-y+1/2,z+1/2'
loop_
_atom_site_label
_atom_site_type_symbol
_atom_site_fract_x
_atom_site_fract_y
_atom_site_fract_z
Dy1 Dy 0.0000 0.0000 0.0000
Dy2 Dy 0.0000 0.0000 0.3623
Dy3 Dy 0.0000 0.3158 0.6245
Dy4 Dy 0.0000 0.3237 0.1065
Dy5 Dy 0.0000 0.5000 0.3562
Tl1 Tl 0.0000 0.5000 0.8619
Tl2 Tl 0.2456 0.2363 0.8671
Hg1 Hg 0.0000 0.0000 0.6598
```

=====

A plane-wave DFT calculation with PBE was carried out for Dy3Tl3Hg after structural relaxation.

Output
formation energy from the elements: -220 meV/atom
raw total energy: -3.25 eV per atom

```
data_Dy3Tl3Hg
_chemical_formula_sum 'Dy6 Tl6 Hg2'
_cell_length_a 9.0623
_cell_length_b 9.0623
_cell_length_c 5.3701
_cell_angle_alpha 90.00
_cell_angle_beta 90.00
_cell_angle_gamma 120.00
_space_group_name_H-M_alt 'P 63/m'
_space_group_IT_number 176
_space_group_name_Hall '-P 6c'
loop_
_atom_site_label
_atom_site_type_symbol
_atom_site_fract_x
_atom_site_fract_y
_atom_site_fract_z
Dy1 Dy 0.1011 0.4537 0.2500
Tl1 Tl 0.0513 0.2467 0.7500
Hg1 Hg 0.3333 0.6667 0.7500
```

=====

A plane-wave DFT calculation with PBE was carried out for DyTl2Hg after structural relaxation.

Output
formation energy from the elements: -250 meV/atom
raw total energy: -2.66 eV per atom

```
data_DyTl2Hg
_chemical_formula_sum 'Dy1 Tl2 Hg1'
_cell_length_a 4.7241
_cell_length_b 4.7241
_cell_length_c 4.6636
_cell_angle_alpha 90.00
_cell_angle_beta 90.00
_cell_angle_gamma 90.00
_space_group_name_H-M_alt 'P 4/m m m'
_space_group_IT_number 123
_space_group_name_Hall '-P 4 2'
loop_
_atom_site_label
_atom_site_type_symbol
_atom_site_fract_x
_atom_site_fract_y
_atom_site_fract_z
Dy1 Dy 0.0000 0.0000 0.0000
Tl1 Tl 0.0000 0.5000 0.5000
Hg1 Hg 0.5000 0.5000 0.0000
```

=====

A plane-wave DFT calculation with PBE was carried out for Dy8TlHg2 after structural relaxation.

Output
distance to the lowest polymorph of the same formula: 33 meV per atom
formation energy from the elements: -121 meV/atom
raw total energy: -3.74 eV per atom

```
data_Dy8TlHg2
_chemical_formula_sum 'Dy16 Tl2 Hg4'
_cell_length_a 8.8049
_cell_length_b 14.5003
_cell_length_c 5.4934
_cell_angle_alpha 90.00
_cell_angle_beta 110.49
_cell_angle_gamma 90.00
_space_group_name_H-M_alt 'C 1 2/m 1'
_space_group_IT_number 12
loop_
_space_group_symop_operation_xyz
'x,y,z'
'-x,-y,-z'
'-x,y,-z'
'x,-y,z'
'x+1/2,y+1/2,z'
'-x+1/2,-y+1/2,-z'
'-x+1/2,y+1/2,-z'
'x+1/2,-y+1/2,z'
loop_
_atom_site_label
_atom_site_type_symbol
_atom_site_fract_x
_atom_site_fract_y
_atom_site_fract_z
Dy1 Dy 0.0000 0.2240 0.0000
Dy2 Dy 0.1024 0.5000 0.8015
Dy3 Dy 0.2099 0.1163 0.6086
Tl1 Tl 0.0000 0.0000 0.0000
Hg1 Hg 0.0000 0.3048 0.5000
```

=====

A plane-wave DFT calculation with PBE was carried out for Dy4Tl2Hg3 after structural relaxation.

Output
distance to the lowest polymorph of the same formula: 0 meV per atom
formation energy from the elements: -330 meV/atom
raw total energy: -3.00 eV per atom

```
data_Dy4Tl2Hg3
_chemical_formula_sum 'Dy8 Tl4 Hg6'
_cell_length_a 8.9838
_cell_length_b 5.1770
_cell_length_c 10.2224
_cell_angle_alpha 90.00
_cell_angle_beta 90.13
_cell_angle_gamma 90.00
_space_group_name_H-M_alt 'C 1 2/m 1'
_space_group_IT_number 12
loop_
_space_group_symop_operation_xyz
'x,y,z'
'-x,-y,-z'
'-x,y,-z'
'x,-y,z'
'x+1/2,y+1/2,z'
'-x+1/2,-y+1/2,-z'
'-x+1/2,y+1/2,-z'
'x+1/2,-y+1/2,z'
loop_
_atom_site_label
_atom_site_type_symbol
_atom_site_fract_x
_atom_site_fract_y
_atom_site_fract_z
Dy1 Dy 0.0000 0.0000 0.1694
Dy2 Dy 0.1667 0.5000 0.3842
Tl1 Tl 0.1665 0.5000 0.7139
Hg1 Hg 0.0000 0.0000 0.5000
Hg2 Hg 0.1666 0.5000 0.0607
```

=====

A plane-wave DFT calculation with PBE was carried out for Dy4Tl5Hg after structural relaxation.

Output
distance to the lowest polymorph of the same formula: 256 meV per atom
formation energy from the elements: -48 meV/atom
raw total energy: -3.10 eV per atom

```
data_Dy4Tl5Hg
_chemical_formula_sum 'Dy8 Tl10 Hg2'
_cell_length_a 7.9294
_cell_length_b 10.0958
_cell_length_c 7.5180
_cell_angle_alpha 90.00
_cell_angle_beta 90.00
_cell_angle_gamma 90.00
_space_group_name_H-M_alt 'P m m n'
_space_group_IT_number 59
loop_
_space_group_symop_operation_xyz
'x,y,z'
'-x,-y,-z'
'-x+1/2,-y+1/2,z'
'x+1/2,y+1/2,-z'
'x+1/2,-y,-z'
'-x+1/2,y,z'
'-x,y+1/2,-z'
'x,-y+1/2,z'
loop_
_atom_site_label
_atom_site_type_symbol
_atom_site_fract_x
_atom_site_fract_y
_atom_site_fract_z
Dy1 Dy 0.0014 0.2500 0.2086
Dy2 Dy 0.2500 0.5603 0.4686
Tl1 Tl 0.0579 0.0629 0.8142
Tl2 Tl 0.2500 0.7500 0.1014
Hg1 Hg 0.2500 0.2500 0.5165
```

=====

A plane-wave DFT calculation with PBE was carried out for Dy3Tl12Hg5 after structural relaxation.

Output
formation energy from the elements: 188 meV/atom
raw total energy: -2.00 eV per atom

```
data_Dy3Tl12Hg5
_chemical_formula_sum 'Dy24 Tl96 Hg40'
_cell_length_a 17.8215
_cell_length_b 17.8215
_cell_length_c 17.8215
_cell_angle_alpha 90.00
_cell_angle_beta 90.00
_cell_angle_gamma 90.00
_space_group_name_H-M_alt 'I a -3 d'
_space_group_IT_number 230
_space_group_name_Hall '-I 4bd 2c 3'
loop_
_atom_site_label
_atom_site_type_symbol
_atom_site_fract_x
_atom_site_fract_y
_atom_site_fract_z
Dy1 Dy 0.0000 0.2500 0.1250
Tl1 Tl 0.0187 0.0780 0.6487
Hg1 Hg 0.0000 0.0000 0.0000
Hg2 Hg 0.0000 0.2500 0.3750
```

=====

A plane-wave DFT calculation with PBE was carried out for DyTl2Hg after structural relaxation.

Output
formation energy from the elements: -100 meV/atom
raw total energy: -2.51 eV per atom

```
data_DyTl2Hg
_chemical_formula_sum 'Dy1 Tl2 Hg1'
_cell_length_a 4.0122
_cell_length_b 4.0122
_cell_length_c 6.8109
_cell_angle_alpha 90.00
_cell_angle_beta 90.00
_cell_angle_gamma 90.00
_space_group_name_H-M_alt 'P 4/m m m'
_space_group_IT_number 123
_space_group_name_Hall '-P 4 2'
loop_
_atom_site_label
_atom_site_type_symbol
_atom_site_fract_x
_atom_site_fract_y
_atom_site_fract_z
Dy1 Dy 0.0000 0.0000 0.0000
Tl1 Tl 0.5000 0.5000 0.2543
Hg1 Hg 0.0000 0.0000 0.5000
```

=====

A plane-wave DFT calculation with PBE was carried out for Dy3Tl2Hg2 after structural relaxation.

Output
formation energy from the elements: -309 meV/atom
raw total energy: -3.04 eV per atom

```
data_Dy3Tl2Hg2
_chemical_formula_sum 'Dy3 Tl2 Hg2'
_cell_length_a 5.0871
_cell_length_b 5.2555
_cell_length_c 8.7195
_cell_angle_alpha 78.13
_cell_angle_beta 89.97
_cell_angle_gamma 61.19
_space_group_name_H-M_alt 'P -1'
_space_group_IT_number 2
loop_
_space_group_symop_operation_xyz
'x,y,z'
'-x,-y,-z'
loop_
_atom_site_label
_atom_site_type_symbol
_atom_site_fract_x
_atom_site_fract_y
_atom_site_fract_z
Dy1 Dy 0.0000 0.0000 0.0000
Dy2 Dy 0.2749 0.4486 0.7024
Tl1 Tl 0.3635 0.2738 0.1451
Hg1 Hg 0.0689 0.8649 0.3625
```